Entry 1:
First-principles (GGA-PBE) data for a geometry-optimized Dy4YHo2Mg structure, as listed in Alexandria via LeMat-Bulk.

a b c (Å): 4.9540 4.9634 11.0933
angles (deg): 63.41 90.00 90.00
Closest atoms and distances in Å follow each position.
Fractional coordinates of all 8 atoms:
1 Dy 0.0000 0.2529 0.2471  2 Mg 3.49, 4 Ho 3.49-3.53, 4 Dy 3.51, 2 Y 3.53
2 Dy 0.5000 0.7527 0.2470  4 Ho 3.48-3.53, 2 Mg 3.49, 4 Dy 3.51, 2 Y 3.53
3 Dy 0.5000 0.2473 0.7530  4 Ho 3.48-3.53, 2 Mg 3.49, 4 Dy 3.51, 2 Y 3.53
4 Dy 0.0000 0.7471 0.7529  2 Mg 3.48, 4 Ho 3.49-3.53, 4 Dy 3.51, 2 Y 3.53
5 Y 0.0000 0.5000 0.5000  4 Ho 3.51, 8 Dy 3.53
6 Mg 0.5000 0.5000 0.0000  8 Dy 3.48-3.49, 4 Ho 3.51
7 Ho 0.5000 0.0000 0.5000  4 Y 3.51, 8 Dy 3.53
8 Ho 0.0000 0.0000 0.0000  8 Dy 3.48-3.49, 4 Mg 3.51

volume: 243.91 Å³/cell
density of states at the Fermi level: 12.1 states/eV/cell
energy of formation: 22 meV/atom



Entry 2:
First-principles (GGA-PBE) data for a geometry-optimized DyYHoMg structure, as listed in Alexandria via LeMat-Bulk.

a b c (Å): 5.4971 5.4971 5.4971
angles (deg): 60.00 60.00 60.00
Closest atoms and distances in Å follow each position.
Fractional coordinates of all 4 atoms:
1 Dy 0.7500 0.7500 0.7500  4 Ho 3.37, 4 Mg 3.37
2 Ho 0.0000 0.0000 0.0000  4 Dy 3.37, 4 Y 3.37
3 Mg 0.5000 0.5000 0.5000  4 Y 3.37, 4 Dy 3.37
4 Y 0.2500 0.2500 0.2500  4 Ho 3.37, 4 Mg 3.37

volume: 117.46 Å³/cell
density of states at the Fermi level: 5.2 states/eV/cell
energy of formation: 48 meV/atom



Entry 3:
First-principles (GGA-PBE) data for a geometry-optimized DyYHoMg structure, as listed in Alexandria via LeMat-Bulk.

a b c (Å): 3.5860 3.5860 9.2082
angles (deg): 90.00 90.00 90.00
Closest atoms and distances in Å follow each position.
Fractional coordinates of all 4 atoms:
1 Y 0.5000 0.5000 0.8060  4 Mg 3.34, 4 Ho 3.53, 4 Y 3.59
2 Ho 0.0000 0.0000 0.0730  4 Dy 3.50, 4 Y 3.53, 4 Ho 3.59
3 Mg 0.0000 0.0000 0.5703  4 Dy 3.33, 4 Y 3.34, 4 Mg 3.59
4 Dy 0.5000 0.5000 0.3353  4 Mg 3.33, 4 Ho 3.50, 4 Dy 3.59

volume: 118.41 Å³/cell
density of states at the Fermi level: 5.4 states/eV/cell
energy of formation: -29 meV/atom



Entry 4:
First-principles (GGA-PBE) data for a geometry-optimized Dy2Y6Ho3Mg structure, as listed in Alexandria via LeMat-Bulk.

a b c (Å): 6.1275 6.1275 11.6912
angles (deg): 95.04 95.04 120.01
Closest atoms and distances in Å follow each position.
Fractional coordinates of all 12 atoms:
1 Y 0.4147 0.0823 0.2487  1 Mg 3.51, 2 Dy 3.52, 6 Y 3.53-3.54, 3 Ho 3.54-3.55
2 Y 0.5853 0.9177 0.7513  1 Mg 3.51, 2 Dy 3.52, 6 Y 3.53-3.54, 3 Ho 3.54-3.55
3 Y 0.7497 0.7497 0.2495  2 Dy 3.52, 1 Mg 3.53, 3 Ho 3.53, 6 Y 3.53-3.54
4 Y 0.2503 0.2503 0.7505  2 Dy 3.52, 1 Mg 3.53, 3 Ho 3.53, 6 Y 3.53-3.54
5 Y 0.0823 0.4147 0.2487  1 Mg 3.51, 2 Dy 3.52, 6 Y 3.53-3.54, 3 Ho 3.54-3.55
6 Y 0.9177 0.5853 0.7513  1 Mg 3.51, 2 Dy 3.52, 6 Y 3.53-3.54, 3 Ho 3.54-3.55
7 Ho 0.8342 0.1658 0.5000  6 Ho 3.52-3.55, 6 Y 3.53-3.55
8 Ho 0.1658 0.8342 0.5000  6 Ho 3.52-3.55, 6 Y 3.53-3.55
9 Ho 0.5000 0.5000 0.5000  6 Ho 3.53-3.55, 6 Y 3.53-3.54
10 Mg 0.0000 0.0000 0.0000  6 Y 3.51-3.53, 6 Dy 3.54
11 Dy 0.6664 0.3336 0.0000  6 Y 3.52, 3 Dy 3.53-3.54, 3 Mg 3.54
12 Dy 0.3336 0.6664 0.0000  6 Y 3.52, 3 Dy 3.53-3.54, 3 Mg 3.54

volume: 374.18 Å³/cell
density of states at the Fermi level: 18.4 states/eV/cell
energy of formation: 33 meV/atom



Entry 5:
First-principles (GGA-PBE) data for a geometry-optimized Dy2Y2HoMg structure, as listed in Alexandria via LeMat-Bulk.

a b c (Å): 3.6089 11.6691 10.3441
angles (deg): 90.00 90.00 90.00
Closest atoms and distances in Å follow each position.
Fractional coordinates of all 12 atoms:
1 Ho 0.5000 0.5000 0.0000  4 Y 3.27, 4 Dy 3.31, 2 Ho 3.61
2 Ho 0.0000 0.0000 0.5000  4 Y 3.27, 4 Dy 3.31, 2 Ho 3.61
3 Dy 0.0000 0.2757 0.0873  2 Ho 3.31, 1 Mg 3.34, 2 Y 3.42, 2 Dy 3.61
4 Dy 0.5000 0.2243 0.5873  2 Ho 3.31, 1 Mg 3.34, 2 Y 3.42, 2 Dy 3.61
5 Dy 0.5000 0.7757 0.4127  2 Ho 3.31, 1 Mg 3.34, 2 Y 3.42, 2 Dy 3.61
6 Dy 0.0000 0.7243 0.9127  2 Ho 3.31, 1 Mg 3.34, 2 Y 3.42, 2 Dy 3.61
7 Mg 0.0000 0.0000 0.0000  4 Y 3.25, 2 Dy 3.34, 2 Mg 3.61
8 Mg 0.5000 0.5000 0.5000  4 Y 3.25, 2 Dy 3.34, 2 Mg 3.61
9 Y 0.0000 0.4286 0.7488  2 Mg 3.25, 2 Ho 3.27, 2 Dy 3.42, 2 Y 3.61
10 Y 0.0000 0.5714 0.2512  2 Mg 3.25, 2 Ho 3.27, 2 Dy 3.42, 2 Y 3.61
11 Y 0.5000 0.9286 0.7512  2 Mg 3.25, 2 Ho 3.27, 2 Dy 3.42, 2 Y 3.61
12 Y 0.5000 0.0714 0.2488  2 Mg 3.25, 2 Ho 3.27, 2 Dy 3.42, 2 Y 3.61

volume: 435.62 Å³/cell
density of states at the Fermi level: 16.5 states/eV/cell
energy of formation: 479 meV/atom



Entry 6:
First-principles (GGA-PBE) data for a geometry-optimized Dy2HoMn structure, as listed in Alexandria via LeMat-Bulk.

a b c (Å): 3.5329 3.5329 8.5887
angles (deg): 90.00 90.00 90.00
Closest atoms and distances in Å follow each position.
Fractional coordinates of all 4 atoms:
1 Dy 0.0000 0.0000 0.7975  4 Mn 3.04
2 Dy 0.0000 0.0000 0.2025  4 Mn 3.04
3 Mn 0.5000 0.5000 0.0000  8 Dy 3.04
4 Ho 0.5000 0.5000 0.5000  4 Ho 3.53, 8 Dy 3.57

volume: 107.20 Å³/cell
density of states at the Fermi level: 5.8 states/eV/cell
energy of formation: 127 meV/atom